*i*
## LaYAs2Br (meta-GGA SCAN)

Data for LaYAs2Br at its PBEsol-relaxed geometry.

Calculated values
As for the density of states at the Fermi level: 0.5074 states/eV per atom.

The structure in extended XYZ format:
```
5
Lattice="5.329 0.000 0.000 0.000 5.329 0.000 0.000 0.000 5.224" Properties=species:S:1:pos:R:3 pbc="T T T"
La 0.000 0.000 0.000
Y 2.664 2.664 2.612
As 0.000 2.664 2.612
As 2.664 0.000 2.612
Br 2.664 2.664 0.000
```



*ii*
## LaYAs2Br (meta-GGA SCAN)

Data for LaYAs2Br at its PBEsol-relaxed geometry.

Calculated values
As for the density of states at the Fermi level: 0.4711 states/eV per atom.

The structure in extended XYZ format:
```
5
Lattice="5.560 0.000 0.000 0.000 5.560 0.000 0.000 0.000 5.411" Properties=species:S:1:pos:R:3 pbc="T T T"
La 0.000 0.000 0.000
Y 2.780 2.780 2.705
As 0.000 2.780 0.000
As 2.780 0.000 0.000
Br 0.000 0.000 2.705
```



Which structure is the least stable? The one labeled *ii*.



*i*
## Li2AsBr (meta-GGA SCAN)

Data for Li2AsBr at its PBEsol-relaxed geometry.

Calculated values
As for the density of states at the Fermi level: 0.3057 states/eV per atom.

The structure in extended XYZ format:
```
4
Lattice="-2.182 2.182 3.824 2.182 -2.182 3.824 2.182 2.182 -3.824" Properties=species:S:1:pos:R:3 pbc="T T T"
Li 2.182 0.000 1.912
Li 0.000 2.182 1.912
As 0.000 0.000 0.000
Br 0.000 0.000 3.824
```



*ii*
## Li2AsBr (meta-GGA SCAN)

Data for Li2AsBr at its PBEsol-relaxed geometry.

Calculated values
As for the density of states at the Fermi level: 0.6618 states/eV per atom.

The structure in extended XYZ format:
```
4
Lattice="0.000 3.429 3.429 3.429 0.000 3.429 3.429 3.429 0.000" Properties=species:S:1:pos:R:3 pbc="T T T"
Li 0.000 0.000 0.000
Li 1.714 1.714 1.714
As 5.143 5.143 5.143
Br 3.429 3.429 3.429
```



*iii*
## Li2AsBr (meta-GGA SCAN)

Data for Li2AsBr at its PBEsol-relaxed geometry.

Calculated values
As for the density of states at the Fermi level: 0.5433 states/eV per atom.

The structure in extended XYZ format:
```
4
Lattice="3.100 0.000 0.000 0.000 4.337 0.000 0.000 0.000 5.667" Properties=species:S:1:pos:R:3 pbc="T T T"
Li 0.000 0.000 0.000
Li 0.000 2.168 2.834
As 1.550 0.000 2.834
Br 1.550 2.168 0.000
```



Which structure is the least stable? The one labeled *ii*.



*i*
## MgAsBr2 (meta-GGA SCAN)

Data for MgAsBr2 at its PBEsol-relaxed geometry.

Calculated values
As for the density of states at the Fermi level: 0.2046 states/eV per atom.

The structure in extended XYZ format:
```
4
Lattice="1.844 -2.853 0.000 1.844 2.853 0.000 0.000 0.000 10.307" Properties=species:S:1:pos:R:3 pbc="T T T"
Mg 0.000 0.000 0.000
As 0.000 0.000 5.153
Br 1.844 0.000 1.746
Br 1.844 0.000 8.560
```



*ii*
## MgAsBr2 (meta-GGA SCAN)

Data for MgAsBr2 at its PBEsol-relaxed geometry.

Calculated values
As for the density of states at the Fermi level: 0.1881 states/eV per atom.

The structure in extended XYZ format:
```
4
Lattice="1.772 1.023 9.917 -1.772 1.023 9.917 0.000 -2.047 9.917" Properties=species:S:1:pos:R:3 pbc="T T T"
Mg 0.000 0.000 0.000
As 0.000 0.000 14.875
Br 0.000 0.000 8.308
Br 0.000 0.000 21.443
```



Which structure is the least stable? The one labeled *i*.



*i*
## Mg2AsBr (meta-GGA SCAN)

Data for Mg2AsBr at its PBEsol-relaxed geometry.

Calculated values
As for the density of states at the Fermi level: 0.3099 states/eV per atom.

The structure in extended XYZ format:
```
4
Lattice="3.426 0.000 0.000 0.000 3.426 0.000 0.000 0.000 7.248" Properties=species:S:1:pos:R:3 pbc="T T T"
Mg 0.000 0.000 1.523
Mg 0.000 0.000 5.724
As 1.713 1.713 0.000
Br 1.713 1.713 3.624
```



*ii*
## Mg2AsBr (meta-GGA SCAN)

Data for Mg2AsBr at its PBEsol-relaxed geometry.

Calculated values
As for the density of states at the Fermi level: 0.3010 states/eV per atom.

The structure in extended XYZ format:
```
4
Lattice="2.056 -3.009 0.000 2.056 3.009 0.000 0.000 0.000 7.429" Properties=species:S:1:pos:R:3 pbc="T T T"
Mg 0.000 0.000 1.572
Mg 0.000 0.000 5.857
As 2.056 0.000 0.000
Br 2.056 0.000 3.714
```



Which structure is the least stable? The one labeled *i*.



*i*
## MgNbAsBr2 (meta-GGA SCAN)

Data for MgNbAsBr2 at its PBEsol-relaxed geometry.

Calculated values
As for the density of states at the Fermi level: 0.8664 states/eV per atom.

The structure in extended XYZ format:
```
5
Lattice="4.831 0.000 0.000 0.000 4.831 0.000 0.000 0.000 5.286" Properties=species:S:1:pos:R:3 pbc="T T T"
Mg 0.000 0.000 0.000
Nb 2.416 2.416 2.643
As 0.000 0.000 2.643
Br 0.000 2.416 0.000
Br 2.416 0.000 0.000
```



*ii*
## MgNbAsBr2 (meta-GGA SCAN)

Data for MgNbAsBr2 at its PBEsol-relaxed geometry.

Calculated values
As for the density of states at the Fermi level: 0.7568 states/eV per atom.

The structure in extended XYZ format:
```
5
Lattice="5.103 0.000 0.000 0.000 5.103 0.000 0.000 0.000 5.084" Properties=species:S:1:pos:R:3 pbc="T T T"
Mg 0.000 0.000 0.000
Nb 2.552 2.552 2.542
As 2.552 2.552 0.000
Br 0.000 2.552 2.542
Br 2.552 0.000 2.542
```



Which structure is the least stable? The one labeled *i*.



*i*
## MnAsSe2Br (meta-GGA SCAN)

Data for MnAsSe2Br at its PBEsol-relaxed geometry.

Calculated values
As for the density of states at the Fermi level: 0.8058 states/eV per atom.

The structure in extended XYZ format:
```
5
Lattice="4.583 0.000 0.000 0.000 4.583 0.000 0.000 0.000 4.866" Properties=species:S:1:pos:R:3 pbc="T T T"
Mn 0.000 0.000 0.000
As 0.000 0.000 2.433
Se 0.000 2.291 0.000
Se 2.291 0.000 0.000
Br 2.291 2.291 2.433
```



*ii*
## MnAsSe2Br (meta-GGA SCAN)

Data for MnAsSe2Br at its PBEsol-relaxed geometry.

Calculated values
As for the density of states at the Fermi level: 0.7768 states/eV per atom.

The structure in extended XYZ format:
```
5
Lattice="5.031 0.000 0.000 0.000 5.031 0.000 0.000 0.000 5.019" Properties=species:S:1:pos:R:3 pbc="T T T"
Mn 0.000 0.000 0.000
As 2.516 2.516 0.000
Se 0.000 2.516 2.510
Se 2.516 0.000 2.510
Br 2.516 2.516 2.510
```



Which structure is the least stable? The one labeled *ii*.